[1]
This record from the Alexandria database describes crystalline GdPaAl at its relaxed geometry. The functional is PBE-GGA.

Calculated values
D(E_F) in states/eV per cell: 4.22
Space-group type: P-6m2
Energy above the lowest structure with this stoichiometry in eV/atom: 0.000
ΔH_f (0 K) in kJ per mole of atoms: 12.1

Structure (POSCAR):
```
GdPaAl
1.0
5.142 0.000 0.000
-2.571 4.453 0.000
0.000 0.000 3.003
Gd Pa Al
1 1 1
direct
0.000 0.000 0.000
0.333 0.667 0.000
0.667 0.333 0.500
```

=====

[2]
This record from the Alexandria database describes crystalline PmRhAu at its relaxed geometry. The functional is PBE-GGA.

Calculated values
D(E_F) in states/eV per cell: 2.84
Space-group type: P-6m2
Energy above the lowest structure with this stoichiometry in eV/atom: 0.033
ΔH_f (0 K) in kJ per mole of atoms: -53.6

Structure (POSCAR):
```
PmRhAu
1.0
4.570 0.000 0.000
-2.285 3.958 0.000
0.000 0.000 3.667
Pm Rh Au
1 1 1
direct
0.000 0.000 0.000
0.667 0.333 0.500
0.333 0.667 0.500
```

=====

[3]
This record from the Alexandria database describes crystalline LiTb2Pm3S6 at its relaxed geometry. The functional is PBE-GGA.

Calculated values
D(E_F) in states/eV per cell: 4.59
Space-group type: C2/m
Formation energy from raw total energies in eV/atom: -1.9708

Structure (POSCAR):
```
LiTb2Pm3S6
1.0
3.416 -5.936 0.000
3.416 5.936 0.000
-2.294 0.000 6.502
Li Tb Pm S
1 2 3 6
direct
0.000 0.000 0.000
0.334 0.666 0.000
0.666 0.334 0.000
0.165 0.835 0.500
0.500 0.500 0.500
0.835 0.165 0.500
0.079 0.406 0.237
0.247 0.247 0.765
0.406 0.079 0.237
0.594 0.921 0.763
0.753 0.753 0.235
0.921 0.594 0.763
```

=====

[4]
This record from the Alexandria database describes crystalline Y3HgC at its relaxed geometry. The functional is PBE-GGA.

Calculated values
D(E_F) in states/eV per cell: 6.06
Space-group type: Pm-3m
Energy above the lowest structure with this stoichiometry in eV/atom: 0.031
ΔH_f (0 K) in kJ per mole of atoms: -38.4

Structure (POSCAR):
```
Y3HgC
1.0
4.915 0.000 0.000
0.000 4.915 0.000
0.000 0.000 4.915
Y Hg C
3 1 1
direct
0.000 0.000 0.500
0.000 0.500 0.000
0.500 0.000 0.000
0.500 0.500 0.500
0.000 0.000 0.000
```

=====

[5]
This record from the Alexandria database describes crystalline CeZr3Np2N6 at its relaxed geometry. The functional is PBE-GGA.

Calculated values
D(E_F) in states/eV per cell: 14.01
Space-group type: C2/m
Formation energy from raw total energies in eV/atom: -1.5045

Structure (POSCAR):
```
CeZr3Np2N6
1.0
7.383 -1.670 0.000
7.383 1.670 0.000
-1.688 0.000 6.586
Ce Zr Np N
1 3 2 6
direct
0.000 0.000 0.000
0.000 0.000 0.500
0.334 0.334 0.167
0.666 0.666 0.833
0.333 0.333 0.666
0.667 0.667 0.334
0.164 0.164 0.589
0.173 0.173 0.077
0.497 0.497 0.266
0.503 0.503 0.734
0.827 0.827 0.923
0.836 0.836 0.411
```

=====

[6]
This record from the Alexandria database describes crystalline TiCdBi2 at its relaxed geometry. The functional is PBE-GGA.

Calculated values
D(E_F) in states/eV per cell: 2.43
Space-group type: R-3m
ΔH_f (0 K) in kJ per mole of atoms: 3.1

Structure (POSCAR):
```
TiCdBi2
1.0
1.660 0.958 11.463
-1.660 0.958 11.463
0.000 -1.917 11.463
Ti Cd Bi
1 1 2
direct
0.000 0.000 0.000
0.500 0.500 0.500
0.401 0.401 0.401
0.599 0.599 0.599
```

=====

[7]
This record from the Alexandria database describes crystalline TiCI2Br at its relaxed geometry. The functional is PBE-GGA.

Calculated values
D(E_F) in states/eV per cell: 14.85
Space-group type: P4/mmm
Formation energy from raw total energies in eV/atom: 1.8537

Structure (POSCAR):
```
TiCI2Br
1.0
6.634 0.000 0.000
0.000 6.634 0.000
0.000 0.000 4.699
Ti C I Br
1 1 2 1
direct
0.000 0.000 0.000
0.500 0.500 0.000
0.000 0.500 0.500
0.500 0.000 0.500
0.000 0.000 0.500
```

=====

[8]
This record from the Alexandria database describes crystalline Cs2PbICl6 at its relaxed geometry. The functional is PBE-GGA.

Calculated values
D(E_F) in states/eV per cell: 3.64
Space-group type: I4/mmm
Formation energy from raw total energies in eV/atom: -1.1208

Structure (POSCAR):
```
Cs2PbICl6
1.0
-3.891 3.891 6.467
3.891 -3.891 6.467
3.891 3.891 -6.467
Cs Pb I Cl
2 1 1 6
direct
0.250 0.750 0.500
0.750 0.250 0.500
0.000 0.000 0.000
0.500 0.500 0.000
0.216 0.216 0.000
0.250 0.250 0.500
0.250 0.750 0.000
0.750 0.250 0.000
0.750 0.750 0.500
0.784 0.784 0.000
```

=====

[9]
This record from the Alexandria database describes crystalline Mg2Hg2Pd5 at its relaxed geometry. The functional is PBE-GGA.

Calculated values
D(E_F) in states/eV per cell: 3.33
Space-group type: C2/m
ΔH_f (0 K) in kJ per mole of atoms: -31.8

Structure (POSCAR):
```
Mg2Hg2Pd5
1.0
4.215 -2.855 0.000
4.215 2.855 0.000
-2.099 0.000 6.696
Mg Hg Pd
2 2 5
direct
0.129 0.129 0.406
0.871 0.871 0.594
0.500 0.500 0.000
0.500 0.500 0.500
0.000 0.000 0.000
0.039 0.562 0.209
0.438 0.961 0.791
0.562 0.039 0.209
0.961 0.438 0.791
```

=====

[10]
This record from the Alexandria database describes crystalline SrCu4Au at its relaxed geometry. The functional is PBE-GGA.

Calculated values
D(E_F) in states/eV per cell: 3.65
Space-group type: F-43m
ΔH_f (0 K) in kJ per mole of atoms: -10.6

Structure (POSCAR):
```
SrCu4Au
1.0
0.000 3.669 3.669
3.669 0.000 3.669
3.669 3.669 0.000
Sr Cu Au
1 4 1
direct
0.000 0.000 0.000
0.376 0.376 0.376
0.376 0.376 0.871
0.376 0.871 0.376
0.871 0.376 0.376
0.750 0.750 0.750
```

=====

[11]
This record from the Alexandria database describes crystalline CaRe3P at its relaxed geometry. The functional is PBE-GGA.

Calculated values
D(E_F) in states/eV per cell: 7.96
Space-group type: Pm-3m
Energy above the lowest structure with this stoichiometry in eV/atom: 2.872
ΔH_f (0 K) in kJ per mole of atoms: 341.5

Structure (POSCAR):
```
CaRe3P
1.0
4.620 0.000 0.000
0.000 4.620 0.000
0.000 0.000 4.620
Ca Re P
1 3 1
direct
0.000 0.000 0.000
0.000 0.000 0.500
0.000 0.500 0.000
0.500 0.000 0.000
0.500 0.500 0.500
```

=====

[12]
This record from the Alexandria database describes crystalline Th3Ir2Au at its relaxed geometry. The functional is PBE-GGA.

Calculated values
D(E_F) in states/eV per cell: 2.77
Space-group type: Immm
ΔH_f (0 K) in kJ per mole of atoms: -84.7

Structure (POSCAR):
```
Th3Ir2Au
1.0
-2.063 2.967 6.414
2.063 -2.967 6.414
2.063 2.967 -6.414
Th Ir Au
3 2 1
direct
0.000 0.000 0.000
0.317 0.317 0.000
0.683 0.683 0.000
0.162 0.662 0.500
0.838 0.338 0.500
0.500 0.000 0.500
```

=====

[13]
This record from the Alexandria database describes crystalline DyMgSc at its relaxed geometry. The functional is PBE-GGA.

Calculated values
D(E_F) in states/eV per cell: 4.89
Space-group type: R3m
Energy above the lowest structure with this stoichiometry in eV/atom: 0.300
ΔH_f (0 K) in kJ per mole of atoms: 26.9

Structure (POSCAR):
```
DyMgSc
1.0
1.616 0.933 9.107
-1.616 0.933 9.107
0.000 -1.866 9.107
Dy Mg Sc
1 1 1
direct
0.000 0.000 0.000
0.120 0.120 0.120
0.883 0.883 0.883
```

=====

[14]
This record from the Alexandria database describes crystalline La4PrDyTm2 at its relaxed geometry. The functional is PBE-GGA.

Calculated values
D(E_F) in states/eV per cell: 12.88
Space-group type: P4/mmm
ΔH_f (0 K) in kJ per mole of atoms: 7.8

Structure (POSCAR):
```
La4PrDyTm2
1.0
5.974 0.000 0.000
0.000 5.974 0.000
0.000 0.000 7.776
La Pr Dy Tm
4 1 1 2
direct
0.000 0.500 0.238
0.000 0.500 0.762
0.500 0.000 0.238
0.500 0.000 0.762
0.000 0.000 0.500
0.500 0.500 0.500
0.000 0.000 0.000
0.500 0.500 0.000
```

=====

[15]
This record from the Alexandria database describes crystalline NaPb2C2 at its relaxed geometry. The functional is PBE-GGA.

Calculated values
D(E_F) in states/eV per cell: 1.47
Space-group type: I4/mmm
Energy above the lowest structure with this stoichiometry in eV/atom: 0.127
ΔH_f (0 K) in kJ per mole of atoms: 83.7

Structure (POSCAR):
```
NaPb2C2
1.0
-2.817 2.817 3.223
2.817 -2.817 3.223
2.817 2.817 -3.223
Na Pb C
1 2 2
direct
0.000 0.000 0.000
0.250 0.750 0.500
0.750 0.250 0.500
0.398 0.398 0.000
0.602 0.602 0.000
```

=====

[16]
This record from the Alexandria database describes crystalline AlZn2Se at its relaxed geometry. The functional is PBE-GGA.

Calculated values
D(E_F) in states/eV per cell: 1.32
Space-group type: Cmmm
Energy above the lowest structure with this stoichiometry in eV/atom: 0.277
Formation energy from raw total energies in eV/atom: 0.1348

Structure (POSCAR):
```
AlZn2Se
1.0
1.978 -2.493 0.000
1.978 2.493 0.000
0.000 0.000 7.489
Al Zn Se
1 2 1
direct
0.000 0.000 0.000
0.500 0.500 0.250
0.500 0.500 0.750
0.000 0.000 0.500
```

=====

[17]
This record from the Alexandria database describes crystalline Pm2DyCd2 at its relaxed geometry. The functional is PBE-GGA.

Calculated values
D(E_F) in states/eV per cell: 10.96
Space-group type: P2_1/m
Energy above the lowest structure with this stoichiometry in eV/atom: 0.000
ΔH_f (0 K) in kJ per mole of atoms: -24.2

Structure (POSCAR):
```
Pm2DyCd2
1.0
3.766 0.000 0.000
0.000 5.398 0.000
-1.882 0.000 14.081
Pm Dy Cd
4 2 4
direct
0.045 0.250 0.088
0.234 0.250 0.470
0.766 0.750 0.530
0.955 0.750 0.912
0.150 0.750 0.298
0.850 0.250 0.702
0.361 0.750 0.722
0.444 0.250 0.888
0.556 0.750 0.112
0.639 0.250 0.278
```

=====

[18]
This record from the Alexandria database describes crystalline SiNiAu3 at its relaxed geometry. The functional is PBE-GGA.

Calculated values
D(E_F) in states/eV per cell: 2.72
Space-group type: Pm-3m
Energy above the lowest structure with this stoichiometry in eV/atom: 0.000
Formation energy from raw total energies in eV/atom: 0.6252

Structure (POSCAR):
```
SiNiAu3
1.0
4.702 0.000 0.000
0.000 4.702 0.000
0.000 0.000 4.702
Si Ni Au
1 1 3
direct
0.000 0.000 0.000
0.500 0.500 0.500
0.000 0.000 0.500
0.000 0.500 0.000
0.500 0.000 0.000
```

=====

[19]
This record from the Alexandria database describes crystalline SrP2SN at its relaxed geometry. The functional is PBE-GGA.

Calculated values
D(E_F) in states/eV per cell: 3.88
Space-group type: P4/mmm
Energy above the lowest structure with this stoichiometry in eV/atom: 0.649
Formation energy from raw total energies in eV/atom: 0.9905

Structure (POSCAR):
```
SrP2SN
1.0
4.397 0.000 0.000
0.000 4.397 0.000
0.000 0.000 5.728
Sr P S N
1 2 1 1
direct
0.000 0.000 0.000
0.000 0.500 0.500
0.500 0.000 0.500
0.000 0.000 0.500
0.500 0.500 0.000
```

=====

[20]
This record from the Alexandria database describes crystalline Tb2U2Ru3 at its relaxed geometry. The functional is PBE-GGA.

Calculated values
D(E_F) in states/eV per cell: 10.22
Space-group type: C2/m
ΔH_f (0 K) in kJ per mole of atoms: -28.4

Structure (POSCAR):
```
Tb2U2Ru3
1.0
5.390 -1.902 0.000
5.390 1.902 0.000
-1.654 0.000 7.195
Tb U Ru
2 2 3
direct
0.125 0.125 0.370
0.875 0.875 0.630
0.163 0.163 0.918
0.837 0.837 0.082
0.391 0.391 0.330
0.500 0.500 0.000
0.609 0.609 0.670
```

=====

[21]
This record from the Alexandria database describes crystalline SrTeAs at its relaxed geometry. The functional is PBE-GGA.

Calculated values
D(E_F) in states/eV per cell: 2.74
Space-group type: F-43m
Formation energy from raw total energies in eV/atom: -0.4801

Structure (POSCAR):
```
SrTeAs
1.0
0.000 3.683 3.683
3.683 0.000 3.683
3.683 3.683 0.000
Sr Te As
1 1 1
direct
0.000 0.000 0.000
0.500 0.500 0.500
0.250 0.250 0.250
```

=====

[22]
This record from the Alexandria database describes crystalline PmSmCu2 at its relaxed geometry. The functional is PBE-GGA.

Calculated values
D(E_F) in states/eV per cell: 3.03
Space-group type: Pm
Energy above the lowest structure with this stoichiometry in eV/atom: 0.000
ΔH_f (0 K) in kJ per mole of atoms: -19.2

Structure (POSCAR):
```
PmSmCu2
1.0
3.887 0.000 0.000
0.000 4.524 0.000
-1.851 0.000 5.253
Pm Sm Cu
1 1 2
direct
0.000 0.000 0.000
0.282 0.500 0.566
0.578 0.500 0.150
0.704 0.000 0.418
```

=====

[23]
This record from the Alexandria database describes crystalline Hf12Ga6Sb at its relaxed geometry. The functional is PBE-GGA.

Calculated values
D(E_F) in states/eV per cell: 12.79
Space-group type: Im-3
Formation energy from raw total energies in eV/atom: -0.2334

Structure (POSCAR):
```
Hf12Ga6Sb
1.0
-4.588 4.588 4.588
4.588 -4.588 4.588
4.588 4.588 -4.588
Hf Ga Sb
12 6 1
direct
0.095 0.277 0.818
0.182 0.459 0.277
0.182 0.905 0.723
0.277 0.182 0.459
0.277 0.818 0.095
0.459 0.277 0.182
0.541 0.723 0.818
0.723 0.182 0.905
0.723 0.818 0.541
0.818 0.095 0.277
0.818 0.541 0.723
0.905 0.723 0.182
0.131 0.500 0.631
0.369 0.869 0.500
0.500 0.369 0.869
0.500 0.631 0.131
0.631 0.131 0.500
0.869 0.500 0.369
0.000 0.000 0.000
```

=====

[24]
This record from the Alexandria database describes crystalline Sm4PS3 at its relaxed geometry. The functional is PBE-GGA.

Calculated values
D(E_F) in states/eV per cell: 2.09
Space-group type: Cmmm
Formation energy from raw total energies in eV/atom: -1.9544

Structure (POSCAR):
```
Sm4PS3
1.0
4.049 -5.705 0.000
4.049 5.705 0.000
0.000 0.000 4.029
Sm P S
4 1 3
direct
0.243 0.243 0.500
0.246 0.754 0.000
0.754 0.246 0.000
0.757 0.757 0.500
0.000 0.000 0.000
0.000 0.500 0.500
0.500 0.000 0.500
0.500 0.500 0.000
```

=====

[25]
This record from the Alexandria database describes crystalline Mo4Ru3Rh at its relaxed geometry. The functional is PBE-GGA.

Calculated values
D(E_F) in states/eV per cell: 9.65
Space-group type: C2/m
ΔH_f (0 K) in kJ per mole of atoms: -1.1

Structure (POSCAR):
```
Mo4Ru3Rh
1.0
4.323 -1.965 0.000
4.323 1.965 0.000
-3.560 0.000 7.014
Mo Ru Rh
4 3 1
direct
0.249 0.249 0.123
0.251 0.251 0.628
0.749 0.749 0.372
0.751 0.751 0.877
0.002 0.002 0.252
0.500 0.500 0.000
0.998 0.998 0.748
0.500 0.500 0.500
```